VASP calculation (PBE) on a geometry-optimized Tl2Ge2Au5 structure.

Geometry as extended XYZ:
```
9
Lattice="4.7453 0.0000 0.0000 -2.3726 6.7501 -3.5563 0.0000 -0.4758 7.1383" Properties=species:S:1:pos:R:3 pbc="T T T"
Au 0.0000 2.3744 1.4784
Au 2.3726 3.8999 2.1036
Au 0.0000 5.3853 -2.2847
Tl 0.0000 1.8263 4.4662
Au 0.0000 0.0000 0.0000
Ge 0.0000 4.9958 2.1906
Tl 2.3727 4.4480 -0.8841
Au 2.3727 0.8890 5.8668
Ge 2.3727 1.2785 1.3915
```

## Properties
The value obtained for the density of states at the Fermi level is 2.9 states/eV/cell. The value obtained for the calculated density is 11.6 g/cm³. The space group is C2/m (12). The value obtained for the total energy is -29.9 eV per formula unit. The value obtained for the spin magnetization is 0.0 μB per formula unit.